[1]
Computed, not measured: an optimized crystal structure of ZrRu at the PBEsol level of DFT.

a = 3.5729 Å, b = 3.5729 Å, c = 5.5838 Å
α = 90.00°, β = 90.00°, γ = 90.00°
With the nearest neighbours (Å) after each atom.
Positions (direct):
Ru  0.5000  0.0000  0.6774  6 Zr 2.65-2.80
Ru  0.0000  0.5000  0.3226  6 Zr 2.65-2.80
Zr  0.5000  0.0000  0.1781  6 Ru 2.65-2.80
Zr  0.0000  0.5000  0.8219  6 Ru 2.65-2.80

Calculated values
ΔH_f (0 K) in meV/atom: -150
Total energy in eV per atom: -9.781

=====

[2]
Computed, not measured: an optimized crystal structure of Zr3Ru at the PBEsol level of DFT.

a = 3.2762 Å, b = 4.7880 Å, c = 4.7880 Å
α = 90.00°, β = 90.00°, γ = 90.00°
With the nearest neighbours (Å) after each atom.
Positions (direct):
Ru  0.0000  0.0000  0.0000  8 Zr 2.90
Zr  0.5000  0.0000  0.5000  4 Zr 2.90, 4 Ru 2.90
Zr  0.5000  0.5000  0.0000  4 Zr 2.90, 4 Ru 2.90
Zr  0.0000  0.5000  0.5000  8 Zr 2.90

Calculated values
ΔH_f (0 K) in meV/atom: -159
Total energy in eV per atom: -9.519

=====

[3]
Computed, not measured: an optimized crystal structure of ZrRu at the PBEsol level of DFT.

a = 3.2551 Å, b = 4.3816 Å, c = 5.4833 Å
α = 113.55°, β = 107.27°, γ = 90.00°
With the nearest neighbours (Å) after each atom.
Positions (direct):
Ru  0.8783  0.1283  0.7566  6 Zr 2.73-2.81, 2 Ru 2.93
Ru  0.1217  0.8717  0.2434  6 Zr 2.73-2.81, 2 Ru 2.93
Zr  0.6188  0.3688  0.2376  6 Ru 2.73-2.81, 2 Zr 2.98
Zr  0.3812  0.6312  0.7624  6 Ru 2.73-2.81, 2 Zr 2.98

Calculated values
ΔH_f (0 K) in meV/atom: -346
Total energy in eV per atom: -9.977

=====

[4]
Computed, not measured: an optimized crystal structure of Zr3Ru at the PBEsol level of DFT.

a = 3.2459 Å, b = 3.2459 Å, c = 7.3287 Å
α = 90.00°, β = 90.00°, γ = 90.00°
With the nearest neighbours (Å) after each atom.
Positions (direct):
Ru  0.0000  0.0000  0.0000  8 Zr 2.80
Zr  0.0000  0.0000  0.5000  12 Zr 3.09-3.25
Zr  0.5000  0.5000  0.2180  4 Ru 2.80, 4 Zr 3.09
Zr  0.5000  0.5000  0.7820  4 Ru 2.80, 4 Zr 3.09

Calculated values
ΔH_f (0 K) in meV/atom: -293
Total energy in eV per atom: -9.653

=====

[5]
Computed, not measured: an optimized crystal structure of S at the PBEsol level of DFT.

a = 8.5973 Å, b = 9.4300 Å, c = 10.6934 Å
α = 116.16°, β = 98.52°, γ = 90.00°
With the nearest neighbours (Å) after each atom.
Positions (direct):
S  0.1602  0.8742  0.4079  2 S 2.06-2.07
S  0.2897  0.5102  0.4184  2 S 2.06-2.07
S  0.0227  0.6341  0.8962  2 S 2.06-2.08
S  0.0623  0.6861  0.7354  2 S 2.05-2.06
S  0.2603  0.8362  0.7901  2 S 2.05-2.07
S  0.3149  0.1585  0.0993  2 S 2.04-2.07
S  0.4377  0.9507  0.2646  2 S 2.05-2.06
S  0.6851  0.8415  0.9007  2 S 2.04-2.07
S  0.7603  0.9539  0.7901  2 S 2.05-2.07
S  0.5623  0.0493  0.7354  2 S 2.05-2.06
S  0.7397  0.1638  0.2099  2 S 2.05-2.07
S  0.3398  0.4663  0.5921  2 S 2.06-2.07
S  0.2103  0.0918  0.5816  2 S 2.06-2.07
S  0.5298  0.3267  0.5498  2 S 2.07
S  0.8398  0.1258  0.5921  2 S 2.06-2.07
S  0.9377  0.3139  0.2646  2 S 2.05-2.06
S  0.9702  0.7768  0.4502  2 S 2.07
S  0.6602  0.5337  0.4079  2 S 2.06-2.07
S  0.2397  0.0461  0.2099  2 S 2.05-2.07
S  0.7103  0.4898  0.5816  2 S 2.06-2.07
S  0.6846  0.4284  0.9007  2 S 2.05-2.08
S  0.8149  0.9408  0.0993  2 S 2.04-2.07
S  0.0298  0.2232  0.5498  2 S 2.07
S  0.1851  0.0592  0.9007  2 S 2.04-2.07
S  0.3154  0.5716  0.0993  2 S 2.05-2.08
S  0.7897  0.9082  0.4184  2 S 2.06-2.07
S  0.5227  0.2622  0.8962  2 S 2.06-2.08
S  0.8154  0.5277  0.0993  2 S 2.05-2.08
S  0.4702  0.6733  0.4502  2 S 2.07
S  0.4773  0.7378  0.1038  2 S 2.06-2.08
S  0.9773  0.3659  0.1038  2 S 2.06-2.08
S  0.1846  0.4723  0.9007  2 S 2.05-2.08

Calculated values
Total energy in eV per atom: -4.354
Energy above the most stable polymorph in this dataset in meV/atom: 30
Formation energy from raw total energies in meV/atom: 30

=====

[6]
Computed, not measured: an optimized crystal structure of S at the PBEsol level of DFT.

a = 4.2746 Å, b = 6.1779 Å, c = 6.1779 Å
α = 114.85°, β = 103.33°, γ = 103.33°
With the nearest neighbours (Å) after each atom.
Positions (direct):
S  0.7416  0.8899  0.6496  2 S 2.07
S  0.0920  0.3504  0.2403  2 S 2.07
S  0.8517  0.7597  0.1101  2 S 2.07
S  0.2584  0.1101  0.3504  2 S 2.07
S  0.9080  0.6496  0.7597  2 S 2.07
S  0.1483  0.2403  0.8899  2 S 2.07

Calculated values
Total energy in eV per atom: -4.343
Energy above the most stable polymorph in this dataset in meV/atom: 42
Formation energy from raw total energies in meV/atom: 42

=====

[7]
Computed, not measured: an optimized crystal structure of S at the PBEsol level of DFT.

a = 8.5817 Å, b = 13.1997 Å, c = 18.3647 Å
α = 90.00°, β = 90.00°, γ = 90.00°
With the nearest neighbours (Å) after each atom.
Positions (direct):
S  0.7253  0.0133  0.4450  2 S 2.06
S  0.3386  0.2812  0.7702  2 S 2.06
S  0.2221  0.7246  0.4456  2 S 2.05
S  0.7779  0.2754  0.5544  2 S 2.05
S  0.4527  0.2178  0.6829  2 S 2.06
S  0.9459  0.8834  0.9275  2 S 2.05-2.06
S  0.7747  0.0133  0.5550  2 S 2.06
S  0.2253  0.9867  0.4450  2 S 2.06
S  0.4459  0.6166  0.5725  2 S 2.05-2.06
S  0.2747  0.4867  0.9450  2 S 2.06
S  0.2779  0.2246  0.9456  2 S 2.05
S  0.1614  0.7812  0.2702  2 S 2.06
S  0.1543  0.6059  0.9001  2 S 2.06
S  0.3038  0.2276  0.5955  2 S 2.06
S  0.1614  0.2812  0.2298  2 S 2.06
S  0.6736  0.5159  0.4077  2 S 2.06
S  0.8264  0.5159  0.5923  2 S 2.06
S  0.1736  0.4841  0.4077  2 S 2.06
S  0.1173  0.9344  0.2680  2 S 2.06
S  0.3457  0.1059  0.4001  2 S 2.06
S  0.2779  0.7246  0.5544  2 S 2.05
S  0.7221  0.2754  0.4456  2 S 2.05
S  0.3386  0.7812  0.7298  2 S 2.06
S  0.4459  0.1166  0.9275  2 S 2.05-2.06
S  0.2289  0.9964  0.8055  2 S 2.06
S  0.5473  0.7822  0.3171  2 S 2.06
S  0.9527  0.7822  0.6829  2 S 2.06
S  0.2221  0.2246  0.0544  2 S 2.05
S  0.2711  0.4964  0.3055  2 S 2.06
S  0.2747  0.9867  0.5550  2 S 2.06
S  0.1736  0.9841  0.0923  2 S 2.06
S  0.2253  0.4867  0.0550  2 S 2.06
S  0.3457  0.6059  0.0999  2 S 2.06
S  0.4527  0.7178  0.8171  2 S 2.06
S  0.7747  0.5133  0.9450  2 S 2.06
S  0.6543  0.8941  0.5999  2 S 2.06
S  0.6962  0.7724  0.4045  2 S 2.06
S  0.3827  0.9344  0.7320  2 S 2.06
S  0.3038  0.7276  0.9045  2 S 2.06
S  0.6962  0.2724  0.0955  2 S 2.06
S  0.0473  0.7178  0.1829  2 S 2.06
S  0.1543  0.1059  0.5999  2 S 2.06
S  0.2289  0.4964  0.6945  2 S 2.06
S  0.7221  0.7754  0.0544  2 S 2.05
S  0.9459  0.3834  0.5725  2 S 2.05-2.06
S  0.8386  0.7188  0.7702  2 S 2.06
S  0.0541  0.1166  0.0725  2 S 2.05-2.06
S  0.0473  0.2178  0.3171  2 S 2.06
S  0.8827  0.0656  0.7320  2 S 2.06
S  0.7253  0.5133  0.0550  2 S 2.06
S  0.7779  0.7754  0.9456  2 S 2.05
S  0.6543  0.3941  0.9001  2 S 2.06
S  0.6736  0.0159  0.0923  2 S 2.06
S  0.6614  0.7188  0.2298  2 S 2.06
S  0.3264  0.4841  0.5923  2 S 2.06
S  0.8038  0.7724  0.5955  2 S 2.06
S  0.7711  0.0036  0.1945  2 S 2.06
S  0.8457  0.3941  0.0999  2 S 2.06
S  0.3264  0.9841  0.9077  2 S 2.06
S  0.8038  0.2724  0.9045  2 S 2.06
S  0.5541  0.8834  0.0725  2 S 2.05-2.06
S  0.7711  0.5036  0.3055  2 S 2.06
S  0.2711  0.9964  0.1945  2 S 2.06
S  0.7289  0.0036  0.8055  2 S 2.06
S  0.1962  0.2276  0.4045  2 S 2.06
S  0.6173  0.0656  0.2680  2 S 2.06
S  0.7289  0.5036  0.6945  2 S 2.06
S  0.1962  0.7276  0.0955  2 S 2.06
S  0.9527  0.2822  0.8171  2 S 2.06
S  0.0541  0.6166  0.4275  2 S 2.05-2.06
S  0.5473  0.2822  0.1829  2 S 2.06
S  0.8827  0.5656  0.7680  2 S 2.06
S  0.8264  0.0159  0.9077  2 S 2.06
S  0.6614  0.2188  0.2702  2 S 2.06
S  0.5541  0.3834  0.4275  2 S 2.05-2.06
S  0.6173  0.5656  0.2320  2 S 2.06
S  0.8457  0.8941  0.4001  2 S 2.06
S  0.8386  0.2188  0.7298  2 S 2.06
S  0.3827  0.4344  0.7680  2 S 2.06
S  0.1173  0.4344  0.2320  2 S 2.06

Calculated values
Total energy in eV per atom: -4.371
Energy above the most stable polymorph in this dataset in meV/atom: 13
Formation energy from raw total energies in meV/atom: 13

=====

[8]
Computed, not measured: an optimized crystal structure of S at the PBEsol level of DFT.

a = 5.3723 Å, b = 9.8796 Å, c = 14.4488 Å
α = 95.82°, β = 100.90°, γ = 99.73°
With the nearest neighbours (Å) after each atom.
Positions (direct):
S  0.0687  0.4276  0.7189  2 S 2.05-2.06
S  0.6020  0.0561  0.6753  2 S 2.05-2.06
S  0.3240  0.6294  0.9277  2 S 2.05-2.06
S  0.7199  0.3368  0.4798  2 S 2.05-2.06
S  0.9902  0.7010  0.9374  2 S 2.06
S  0.2062  0.4283  0.8617  2 S 2.05-2.06
S  0.9313  0.5724  0.2811  2 S 2.05-2.06
S  0.0098  0.2990  0.0626  2 S 2.06
S  0.0976  0.7952  0.5911  2 S 2.05-2.06
S  0.9204  0.9787  0.1104  2 S 2.05-2.06
S  0.9024  0.2048  0.4089  2 S 2.05-2.06
S  0.4710  0.8202  0.2140  2 S 2.05-2.06
S  0.6760  0.3706  0.0723  2 S 2.05-2.06
S  0.9301  0.8202  0.8294  2 S 2.05-2.06
S  0.6461  0.5928  0.3554  2 S 2.05-2.06
S  0.5290  0.1798  0.7860  2 S 2.05-2.06
S  0.0699  0.1798  0.1706  2 S 2.05-2.06
S  0.2801  0.6632  0.5202  2 S 2.05-2.06
S  0.5292  0.9327  0.1051  2 S 2.06
S  0.5331  0.6006  0.6249  2 S 2.05-2.06
S  0.7379  0.0084  0.4246  2 S 2.05-2.06
S  0.0796  0.0213  0.8896  2 S 2.05-2.06
S  0.2621  0.9916  0.5754  2 S 2.05-2.06
S  0.3539  0.4072  0.6446  2 S 2.05-2.06
S  0.3980  0.9439  0.3247  2 S 2.05-2.06
S  0.7938  0.5717  0.1383  2 S 2.05-2.06
S  0.4708  0.0673  0.8949  2 S 2.06
S  0.4669  0.3994  0.3751  2 S 2.05-2.06

Calculated values
Total energy in eV per atom: -4.366
Energy above the most stable polymorph in this dataset in meV/atom: 18
Formation energy from raw total energies in meV/atom: 18

=====

[9]
Computed, not measured: an optimized crystal structure of S at the PBEsol level of DFT.

a = 8.2560 Å, b = 8.2560 Å, c = 13.1372 Å
α = 104.51°, β = 104.51°, γ = 101.68°
With the nearest neighbours (Å) after each atom.
Positions (direct):
S  0.8839  0.2267  0.6479  2 S 2.05
S  0.5788  0.2360  0.3521  2 S 2.05
S  0.7733  0.1161  0.3521  2 S 2.05
S  0.7640  0.4212  0.6479  2 S 2.05
S  0.3661  0.5233  0.8521  2 S 2.05
S  0.6712  0.5140  0.1479  2 S 2.05
S  0.4767  0.6339  0.1479  2 S 2.05
S  0.4860  0.3288  0.8521  2 S 2.05
S  0.8183  0.1021  0.7552  2 S 2.05
S  0.3469  0.0631  0.2448  2 S 2.05
S  0.8979  0.1817  0.2448  2 S 2.05
S  0.9369  0.6531  0.7552  2 S 2.05
S  0.4317  0.6479  0.7448  2 S 2.05
S  0.9031  0.6869  0.2552  2 S 2.05
S  0.3521  0.5683  0.2552  2 S 2.05
S  0.3131  0.0969  0.7448  2 S 2.05
S  0.0166  0.2028  0.9039  2 S 2.05
S  0.2989  0.1127  0.0961  2 S 2.05
S  0.7972  0.9834  0.0961  2 S 2.05
S  0.8873  0.7011  0.9039  2 S 2.05
S  0.2334  0.5472  0.5961  2 S 2.05
S  0.9511  0.6373  0.4039  2 S 2.05
S  0.4528  0.7666  0.4039  2 S 2.05
S  0.3627  0.0489  0.5961  2 S 2.05
S  0.9503  0.3831  0.0126  2 S 2.05-2.06
S  0.3705  0.9377  0.9874  2 S 2.05-2.06
S  0.6169  0.0497  0.9874  2 S 2.05-2.06
S  0.0623  0.6295  0.0126  2 S 2.05-2.06
S  0.2997  0.3669  0.4874  2 S 2.05-2.06
S  0.8795  0.8123  0.5126  2 S 2.05-2.06
S  0.6331  0.7003  0.5126  2 S 2.05-2.06
S  0.1877  0.1205  0.4874  2 S 2.05-2.06

Calculated values
Total energy in eV per atom: -4.383
Energy above the most stable polymorph in this dataset in meV/atom: 1
Formation energy from raw total energies in meV/atom: 1

=====

[10]
Computed, not measured: an optimized crystal structure of S at the PBEsol level of DFT.

a = 4.5983 Å, b = 9.0338 Å, c = 14.6674 Å
α = 90.00°, β = 90.00°, γ = 90.00°
With the nearest neighbours (Å) after each atom.
Positions (direct):
S  0.0019  0.3200  0.8860  2 S 2.06
S  0.5000  0.5000  0.2721  2 S 2.06
S  0.2419  0.7262  0.0000  2 S 2.06
S  0.9981  0.6800  0.1140  2 S 2.06
S  0.7579  0.8660  0.8563  2 S 2.06
S  0.4981  0.8200  0.6140  2 S 2.06
S  0.2579  0.6340  0.6437  2 S 2.06
S  0.5000  0.5000  0.7279  2 S 2.06
S  0.5019  0.1800  0.3860  2 S 2.06
S  0.4981  0.8200  0.3860  2 S 2.06
S  0.2579  0.6340  0.3563  2 S 2.06
S  0.7421  0.3660  0.3563  2 S 2.06
S  0.2581  0.2262  0.5000  2 S 2.06
S  0.0000  0.0000  0.2279  2 S 2.06
S  0.0000  0.0000  0.7721  2 S 2.06
S  0.2421  0.1340  0.1437  2 S 2.06
S  0.5019  0.1800  0.6140  2 S 2.06
S  0.9981  0.6800  0.8860  2 S 2.06
S  0.2421  0.1340  0.8563  2 S 2.06
S  0.7421  0.3660  0.6437  2 S 2.06
S  0.7419  0.7738  0.5000  2 S 2.06
S  0.7579  0.8660  0.1437  2 S 2.06
S  0.0019  0.3200  0.1140  2 S 2.06
S  0.7581  0.2738  0.0000  2 S 2.06

Calculated values
Total energy in eV per atom: -4.370
Energy above the most stable polymorph in this dataset in meV/atom: 14
Formation energy from raw total energies in meV/atom: 14

=====

Among the records above, which one has the lowest total energy? number 3